No. 1
The following is a DFT calculation (GGA-PBE) of CeSm2DyEr5 after structural relaxation.

Summary:
As for the crystal system: tetragonal. As for the symmetry: I4/mcm (140).

Cell and atoms, written as extended XYZ:
```
18
Lattice="-4.281 4.281 7.713 4.281 -4.281 7.713 4.281 4.281 -7.713" Properties=species:S:1:pos:R:3 pbc="T T T"
Ce 4.281 0.000 3.856
Ce 0.000 4.281 3.856
Sm 5.305 1.025 0.000
Sm 1.025 3.256 0.000
Sm 3.256 1.025 7.713
Sm -1.025 3.256 7.713
Dy 0.000 0.000 3.856
Dy 0.000 0.000 11.569
Er 0.000 0.000 0.000
Er 2.535 1.745 -2.156
Er 2.535 -1.745 5.556
Er 2.535 1.745 2.156
Er 2.535 -1.745 9.869
Er 0.000 0.000 7.713
Er 1.745 6.026 -2.156
Er 1.745 2.535 5.556
Er 1.745 6.026 2.156
Er 1.745 2.535 9.869
```



No. 2
The following is a DFT calculation (GGA-PBE) of BaLiIn11 after structural relaxation.

Summary:
As for the crystal system: monoclinic. As for the symmetry: C2/m (12).

Cell and atoms, written as extended XYZ:
```
13
Lattice="3.117 -7.589 0.000 3.117 7.589 0.000 -2.584 0.000 7.602" Properties=species:S:1:pos:R:3 pbc="T T T"
Ba 0.000 0.000 0.000
Li 1.825 0.000 3.801
In -1.292 0.000 3.801
In 1.558 3.794 0.000
In 0.264 2.642 2.777
In 0.474 1.601 5.938
In 0.264 -2.642 2.777
In 3.175 1.601 1.664
In 1.558 -3.794 0.000
In 0.474 -1.601 5.938
In 3.385 2.642 4.825
In 3.175 -1.601 1.664
In 3.385 -2.642 4.825
```



| no. | energy of formation (eV per atom) |
| --- | --- |
| 1 | 0.28 |
| 2 | -0.15 |